[1]
A relaxed Ac3La crystal, computed with GGA-PBE.

a = 8.8757 Å, b = 8.8757 Å, c = 8.8757 Å
α = 90.00°, β = 90.00°, γ = 90.00°
Space group Fm-3m (No. 225)
Inequivalent atoms, fractional coordinates:
Ac1 0.0000 0.0000 0.0000 [4 per cell]
Ac2 0.2500 0.2500 0.2500 [8 per cell]
La1 0.0000 0.0000 0.5000 [4 per cell]

Results
Energy above the most stable polymorph in this dataset ... 12.01 kJ/mol of atoms
Formation energy from the elements ... 13.3 kJ per mole of atoms
Magnetization ... 2.06 μB per formula unit

[2]
A relaxed HoErAs crystal, computed with GGA-PBE.

a = 3.6478 Å, b = 3.6478 Å, c = 11.4530 Å
α = 90.00°, β = 90.00°, γ = 90.00°
Space group I4mm (No. 107)
Inequivalent atoms, fractional coordinates:
Ho1 0.0000 0.0000 0.0000 [2 per cell]
Er1 0.0000 0.0000 0.2826 [2 per cell]
As1 0.0000 0.0000 0.6428 [2 per cell]

Results
Energy above the most stable polymorph in this dataset ... 11.08 kJ/mol of atoms
Formation energy from the elements ... -70.5 kJ per mole of atoms
Magnetization ... 0.71 μB per formula unit

[3]
A relaxed Li4In5Pd crystal, computed with GGA-PBE.

a = 3.4124 Å, b = 3.4124 Å, c = 16.4088 Å
α = 90.00°, β = 90.00°, γ = 90.00°
Space group P4/mmm (No. 123)
Inequivalent atoms, fractional coordinates:
Li1 0.0000 0.0000 0.1027 [2 per cell]
Li2 0.0000 0.0000 0.3058 [2 per cell]
In1 0.5000 0.5000 0.0000 [1 per cell]
In2 0.5000 0.5000 0.2041 [2 per cell]
In3 0.5000 0.5000 0.4045 [2 per cell]
Pd1 0.0000 0.0000 0.5000 [1 per cell]

Results
Formation energy from the elements ... -31.4 kJ per mole of atoms
Magnetization ... 0.00 μB per formula unit

[4]
A relaxed YVZn4 crystal, computed with GGA-PBE.

a = 7.4047 Å, b = 7.4047 Å, c = 7.4047 Å
α = 90.00°, β = 90.00°, γ = 90.00°
Space group F-43m (No. 216)
Inequivalent atoms, fractional coordinates:
Y1 0.0000 0.0000 0.0000 [4 per cell]
V1 0.2500 0.2500 0.7500 [4 per cell]
Zn1 0.1241 0.1241 0.3759 [16 per cell]

Results
Formation energy from the elements ... -16.1 kJ per mole of atoms
Magnetization ... 3.21 μB per formula unit

[5]
A relaxed KZn2Co crystal, computed with GGA-PBE.

a = 5.1480 Å, b = 5.1480 Å, c = 2.7885 Å
α = 90.00°, β = 90.00°, γ = 90.00°
Space group P4/mmm (No. 123)
Inequivalent atoms, fractional coordinates:
K1 0.0000 0.0000 0.0000 [1 per cell]
Zn1 0.0000 0.5000 0.5000 [2 per cell]
Co1 0.5000 0.5000 0.0000 [1 per cell]

Results
Energy above the most stable polymorph in this dataset ... 36.82 kJ/mol of atoms
Formation energy from the elements ... 63.8 kJ per mole of atoms
Magnetization ... 1.36 μB per formula unit

[6]
A relaxed ScBe crystal, computed with GGA-PBE.

a = 4.5973 Å, b = 4.5973 Å, c = 10.3679 Å
α = 90.00°, β = 90.00°, γ = 120.00°
Space group R-3m (No. 166, hexagonal axes)
Inequivalent atoms, fractional coordinates:
Sc1 0.0000 0.0000 0.1444 [6 per cell]
Be1 0.0000 0.0000 0.3985 [6 per cell]

Results
Formation energy from the elements ... 33.5 kJ per mole of atoms
Magnetization ... 0.00 μB per formula unit

[7]
A relaxed Tm2ScPd2 crystal, computed with GGA-PBE.

a = 7.5082 Å, b = 7.5082 Å, c = 3.9338 Å
α = 90.00°, β = 90.00°, γ = 90.00°
Space group P4/mbm (No. 127)
Inequivalent atoms, fractional coordinates:
Tm1 0.1676 0.3324 0.0000 [4 per cell]
Sc1 0.0000 0.0000 0.5000 [2 per cell]
Pd1 0.1352 0.6352 0.5000 [4 per cell]

Results
Energy above the most stable polymorph in this dataset ... 0.00 kJ/mol of atoms
Formation energy from the elements ... -73.8 kJ per mole of atoms
Magnetization ... 0.00 μB per formula unit

[8]
A relaxed NpAsH crystal, computed with GGA-PBE.

a = 3.9784 Å, b = 3.9784 Å, c = 5.9725 Å
α = 90.00°, β = 90.00°, γ = 90.00°
Space group P4/nmm (No. 129, origin choice 2)
Inequivalent atoms, fractional coordinates:
Np1 0.2500 0.2500 0.2013 [2 per cell]
As1 0.2500 0.2500 0.6860 [2 per cell]
H1 0.2500 0.7500 0.0000 [2 per cell]

Results
Energy above the most stable polymorph in this dataset ... 0.59 kJ/mol of atoms
Magnetization ... 3.12 μB per formula unit

[9]
A relaxed TbLuO crystal, computed with GGA-PBE.

a = 3.4723 Å, b = 3.4723 Å, c = 5.7033 Å
α = 90.00°, β = 90.00°, γ = 120.00°
Space group P3m1 (No. 156)
Inequivalent atoms, fractional coordinates:
Tb1 0.0000 0.0000 0.0000 [1 per cell]
Lu1 0.3333 0.6667 0.4754 [1 per cell]
O1 0.6667 0.3333 0.2608 [1 per cell]

Results
E_form (uncorrected) ... -5.41 eV/f.u.
Magnetization ... 0.19 μB per formula unit

[10]
A relaxed KNaS2 crystal, computed with GGA-PBE.

a = 5.0262 Å, b = 5.0262 Å, c = 18.0637 Å
α = 90.00°, β = 90.00°, γ = 90.00°
Space group I-42d (No. 122)
Inequivalent atoms, fractional coordinates:
K1 0.0000 0.0000 0.0000 [4 per cell]
Na1 0.0000 0.0000 0.5000 [4 per cell]
S1 0.0606 0.2500 0.6250 [8 per cell]

Results
Energy above the most stable polymorph in this dataset ... 15.50 kJ/mol of atoms
E_form (uncorrected) ... -2.61 eV/f.u.
Magnetization ... 0.00 μB per formula unit

[11]
A relaxed TaTeSe2 crystal, computed with GGA-PBE.

a = 13.0240 Å, b = 3.4915 Å, c = 5.0393 Å
α = 90.00°, β = 102.67°, γ = 90.00°
Space group C2/m (No. 12)
Inequivalent atoms, fractional coordinates:
Ta1 0.0000 0.0000 0.0000 [2 per cell]
Te1 0.0000 0.5000 0.5000 [2 per cell]
Se1 0.1498 0.5000 0.1800 [4 per cell]

Results
E_form (uncorrected) ... -0.61 eV/f.u.
Magnetization ... 0.00 μB per formula unit

[12]
A relaxed Li3Nd5S8 crystal, computed with GGA-PBE.

a = 8.0604 Å, b = 8.0604 Å, c = 19.3554 Å
α = 90.00°, β = 90.00°, γ = 120.00°
Space group R-3m (No. 166, hexagonal axes)
Inequivalent atoms, fractional coordinates:
Li1 0.0000 0.5000 0.0000 [9 per cell]
Nd1 0.0000 0.0000 0.0000 [3 per cell]
Nd2 0.0000 0.0000 0.5000 [3 per cell]
Nd3 0.0000 0.5000 0.5000 [9 per cell]
S1 0.0000 0.0000 0.2518 [6 per cell]
S2 0.0052 0.5026 0.2526 [18 per cell]

Results
E_form (uncorrected) ... -29.47 eV/f.u.
Magnetization ... 0.00 μB per formula unit

Short version: calculated volume = 43.70; 25.40; 19.11; 16.92; 18.48; 15.81; 22.18; 15.76; 19.85; 28.52; 27.95; 22.69 Å³/atom, in the order given.